No. 1
## NaCuSi (GGA-PBE)

Data for a relaxed structure of NaCuSi.

abc: 3.9246 5.7279 7.9354
angles: 48.05 61.01 69.95
Fractional coordinates of all 6 atoms:
Cu: 0.6458 0.0491 0.0494
Cu: 0.7736 0.5790 0.6592
Na: 0.4861 0.1535 0.6557
Na: 0.9330 0.4746 0.0529
Si: 0.3310 0.8682 0.4539
Si: 0.0884 0.7600 0.2547

Properties
E_form (uncorrected): 0.11 eV per atom

***

No. 2
## Nd15Ho4Er (GGA-PBE)

Data for a relaxed structure of Nd15Ho4Er.

abc: 5.1554 5.1554 25.6513
angles: 90.00 90.00 90.00
Fractional coordinates of all 20 atoms:
Nd: 0.5000 0.5000 0.2000
Nd: 0.0000 0.5000 0.5000
Nd: 0.5000 0.5000 0.5999
Nd: 0.5000 0.0000 0.6999
Nd: 0.5000 0.5000 0.0000
Nd: 0.0000 0.5000 0.6999
Nd: 0.5000 0.0000 0.9001
Nd: 0.0000 0.5000 0.9001
Nd: 0.5000 0.0000 0.3001
Nd: 0.5000 0.5000 0.4001
Nd: 0.5000 0.5000 0.8000
Nd: 0.0000 0.5000 0.3001
Nd: 0.5000 0.0000 0.0999
Nd: 0.5000 0.0000 0.5000
Nd: 0.0000 0.5000 0.0999
Er: 0.0000 0.0000 0.0000
Ho: 0.0000 0.0000 0.5999
Ho: 0.0000 0.0000 0.4001
Ho: 0.0000 0.0000 0.8000
Ho: 0.0000 0.0000 0.2000

Properties
Formation energy: 0.01 eV per atom

***

No. 3
## Rb2MgCd (GGA-PBE)

Data for a relaxed structure of Rb2MgCd.

abc: 5.2635 6.0096 6.0096
angles: 90.00 90.00 90.00
Fractional coordinates of all 4 atoms:
Cd: 0.5000 0.5000 0.5000
Mg: 0.5000 0.0000 0.0000
Rb: 0.0000 0.0000 0.5000
Rb: 0.0000 0.5000 0.0000

Properties
Energy above the most stable polymorph in this dataset: 0.8 meV/atom
Formation energy: 0.18 eV per atom

***

No. 4
## Tb7Sm12Zr (GGA-PBE)

Data for a relaxed structure of Tb7Sm12Zr.

abc: 6.1446 11.4712 11.4712
angles: 116.88 100.29 100.29
Fractional coordinates of all 20 atoms:
Sm: 0.4236 0.3539 0.9996
Sm: 0.5764 0.6461 0.0004
Sm: 0.0697 0.6457 0.6461
Sm: 0.5002 0.5870 0.4134
Sm: 0.4240 0.0004 0.3543
Sm: 0.0868 0.5866 0.1736
Sm: 0.9132 0.4134 0.8264
Sm: 0.9132 0.8264 0.4130
Sm: 0.0868 0.1736 0.5870
Sm: 0.9303 0.3543 0.3539
Sm: 0.4998 0.4130 0.5866
Sm: 0.5760 0.9996 0.6457
Tb: 0.8826 0.0004 0.2426
Tb: 0.3600 0.2426 0.2423
Tb: 0.8823 0.2423 0.9996
Tb: 0.1177 0.7577 0.0004
Tb: 0.5000 0.0000 0.0000
Tb: 0.1174 0.9996 0.7574
Tb: 0.6400 0.7574 0.7577
Zr: 0.0000 0.0000 0.0000

Properties
Energy above the most stable polymorph in this dataset: 0.0 meV/atom
Formation energy: 0.23 eV per atom

***

No. 5
## LiSi2Tc (GGA-PBE)

Data for a relaxed structure of LiSi2Tc.

abc: 4.4441 4.4441 4.4441
angles: 129.19 129.19 74.70
Fractional coordinates of all 4 atoms:
Si: 0.5000 0.5000 0.0000
Si: 0.0000 0.0000 0.0000
Tc: 0.2500 0.7500 0.5000
Li: 0.7500 0.2500 0.5000

Properties
E_form (uncorrected): -0.22 eV per atom
Energy above the most stable polymorph in this dataset: 78.1 meV/atom

***

No. 6
## LiCrHg2 (GGA-PBE)

Data for a relaxed structure of LiCrHg2.

abc: 4.3389 4.3389 10.0497
angles: 77.53 77.53 90.00
Fractional coordinates of all 8 atoms:
Li: 0.5000 0.5000 0.0000
Li: 0.2500 0.7500 0.5000
Cr: 0.0000 0.0000 0.0000
Cr: 0.7500 0.2500 0.5000
Hg: 0.6216 0.1250 0.2500
Hg: 0.8750 0.8716 0.7500
Hg: 0.1284 0.6250 0.2500
Hg: 0.3750 0.3784 0.7500

Properties
Formation energy: 0.35 eV per atom

***

No. 7
## Ac2SmReO8 (GGA-PBE)

Data for a relaxed structure of Ac2SmReO8.

abc: 5.3705 5.3743 7.1362
angles: 89.98 89.99 91.00
Fractional coordinates of all 12 atoms:
O: 0.7488 0.7524 0.9990
O: 0.1689 0.8300 0.8001
O: 0.2512 0.2476 0.0010
O: 0.6983 0.7002 0.5006
O: 0.3017 0.2998 0.4994
O: 0.1675 0.8287 0.2000
O: 0.8325 0.1713 0.8000
O: 0.8311 0.1700 0.1999
Re: 0.0000 0.0000 0.0000
Ac: 0.5009 0.5009 0.2436
Ac: 0.4991 0.4991 0.7564
Sm: 0.0000 0.0000 0.5000

Properties
E_form (uncorrected): -2.65 eV per atom

***

No. 8
## Cd2PtW (GGA-PBE)

Data for a relaxed structure of Cd2PtW.

abc: 2.8421 2.8421 8.7722
angles: 90.00 90.00 90.00
Fractional coordinates of all 4 atoms:
Cd: 0.0000 0.0000 0.4905
Cd: 0.0000 0.0000 0.0095
W: 0.5000 0.5000 0.7500
Pt: 0.5000 0.5000 0.2500

Properties
Energy above the most stable polymorph in this dataset: 202.3 meV/atom
Formation energy: 0.25 eV per atom

***

No. 9
## Mn4FeCl (GGA-PBE)

Data for a relaxed structure of Mn4FeCl.

abc: 4.7758 4.7758 4.7758
angles: 60.00 60.00 60.00
Fractional coordinates of all 6 atoms:
Fe: 0.0000 0.0000 0.0000
Mn: 0.6246 0.1261 0.6246
Mn: 0.6246 0.6246 0.6246
Mn: 0.6246 0.6246 0.1261
Mn: 0.1261 0.6246 0.6246
Cl: 0.2500 0.2500 0.2500

Properties
E_form (uncorrected): 0.86 eV per atom

***

No. 10
## Ce2ZrGe4Pt3 (GGA-PBE)

Data for a relaxed structure of Ce2ZrGe4Pt3.

abc: 4.3070 4.3070 10.8546
angles: 90.00 90.00 90.00
Fractional coordinates of all 10 atoms:
Ge: 0.0000 0.0000 0.0000
Ge: 0.0000 0.5000 0.3498
Ge: 0.5000 0.5000 0.0000
Ge: 0.5000 0.0000 0.6502
Pt: 0.5000 0.0000 0.8790
Pt: 0.0000 0.0000 0.5000
Pt: 0.0000 0.5000 0.1210
Zr: 0.5000 0.5000 0.5000
Ce: 0.0000 0.5000 0.7643
Ce: 0.5000 0.0000 0.2357

Properties
Formation energy: -0.89 eV per atom

***

No. 11
## Li2In3Ag7 (GGA-PBE)

Data for a relaxed structure of Li2In3Ag7.

abc: 5.0957 5.0733 10.0075
angles: 94.39 76.27 111.61
Fractional coordinates of all 12 atoms:
In: 0.0981 0.0560 0.6568
In: 0.5000 0.5000 0.0000
In: 0.9019 0.9440 0.3432
Ag: 0.4674 0.7392 0.5872
Ag: 0.5668 0.0052 0.8462
Ag: 0.4332 0.9948 0.1538
Ag: 0.0000 0.0000 0.0000
Ag: 0.9240 0.4904 0.1554
Ag: 0.0760 0.5096 0.8446
Ag: 0.5326 0.2608 0.4128
Li: 0.7548 0.4237 0.6461
Li: 0.2452 0.5763 0.3539

Properties
Energy above the most stable polymorph in this dataset: 0.0 meV/atom
Formation energy: -0.09 eV per atom

***

No. 12
## CoNi2Ag (GGA-PBE)

Data for a relaxed structure of CoNi2Ag.

abc: 2.6335 3.5383 5.4728
angles: 90.00 90.00 90.00
Fractional coordinates of all 4 atoms:
Ni: 0.0000 0.0000 0.9936
Ni: 0.5000 0.5000 0.2196
Ag: 0.0000 0.0000 0.4974
Co: 0.5000 0.5000 0.7894

Properties
Energy above the most stable polymorph in this dataset: 85.0 meV/atom
Formation energy: 0.25 eV per atom

***

no.,theoretical density (Mg/m³)
1,3.3
2,7.3
3,2.7
4,7.4
5,5.2
6,8.5
7,7.4
8,14.1
9,6.7
10,10.3
11,7.9
12,9.3